Below is a relaxed AcFeAsO6 crystal, with properties calculated at the PBE with a Hubbard U level.

Calculated total energy in eV/atom: -6.7551

Cell lengths 5.3823, 5.0313, 5.0313 Å; angles 120.00, 90.00, 90.00 degrees
Site moments in Bohr magnetons follow the coordinates.
Fractional coordinates of all 9 atoms:
1 As 0.5000 0.0000 0.0000  0.01
2 O 0.6985 0.7244 0.6749  -0.06
3 O 0.3015 0.9505 0.6749  -0.06
4 O 0.3015 0.3251 0.2756  -0.06
5 O 0.6985 0.9505 0.2756  -0.06
6 O 0.3015 0.7244 0.0495  -0.06
7 O 0.6985 0.3251 0.0495  -0.06
8 Fe 0.5000 0.6667 0.3333  2.36
9 Ac 0.0000 0.3333 0.6667  0.00